Entry 1:
The following is a DFT calculation (GGA-PBE) of crystalline HoPd3Au4 at its relaxed geometry.

Cell: 4.1530 4.1530 16.5183 Å, 90.00 90.00 90.00°
Positions (direct):
Ho1 0.0000 0.0000 0.0000
Ho2 0.5000 0.5000 0.5000
Pd1 0.0000 0.0000 0.2528
Pd2 0.0000 0.0000 0.5000
Pd3 0.0000 0.0000 0.7472
Pd4 0.5000 0.5000 0.0000
Pd5 0.5000 0.5000 0.2472
Pd6 0.5000 0.5000 0.7528
Au1 0.0000 0.5000 0.1300
Au2 0.0000 0.5000 0.3700
Au3 0.0000 0.5000 0.6300
Au4 0.0000 0.5000 0.8700
Au5 0.5000 0.0000 0.1300
Au6 0.5000 0.0000 0.3700
Au7 0.5000 0.0000 0.6300
Au8 0.5000 0.0000 0.8700

Summary:
Energy of formation from the pure elements   -436 meV/atom
Crystal system   tetragonal


Entry 2:
The following is a DFT calculation (GGA-PBE) of crystalline Mg2TaTc at its relaxed geometry.

Cell: 2.7825 4.2824 6.0164 Å, 90.00 90.00 90.00°
Positions (direct):
Mg1 0.0000 0.0000 0.0000
Mg2 0.5000 0.5000 0.2486
Ta1 0.0000 0.0000 0.5278
Tc1 0.5000 0.5000 0.7344

Summary:
Energy of formation from the pure elements   248 meV/atom
Crystal system   orthorhombic


Entry 3:
The following is a DFT calculation (GGA-PBE) of crystalline Ba2GaIrPb at its relaxed geometry.

Cell: 6.1390 6.1390 4.8030 Å, 90.00 90.00 90.00°
Positions (direct):
Ba1 0.0000 0.5000 0.0000
Ba2 0.5000 0.0000 0.0000
Ga1 0.0000 0.0000 0.5000
Ir1 0.0000 0.0000 0.0000
Pb1 0.5000 0.5000 0.5000

Summary:
Energy of formation from the pure elements   -256 meV/atom
Crystal system   tetragonal


Entry 4:
The following is a DFT calculation (GGA-PBE) of crystalline Sr2LiZn6Rh at its relaxed geometry.

Cell: 6.7185 6.7298 6.7790 Å, 60.51 60.31 60.15°
Positions (direct):
Sr1 0.1974 0.1964 0.4079
Sr2 0.8026 0.8036 0.5921
Li1 0.5000 0.5000 0.5000
Zn1 0.2476 0.6392 0.8633
Zn2 0.2493 0.2490 0.8617
Zn3 0.3591 0.7512 0.1387
Zn4 0.6409 0.2488 0.8613
Zn5 0.7507 0.7510 0.1383
Zn6 0.7524 0.3608 0.1367
Rh1 0.0000 0.0000 0.0000

Summary:
Energy of formation from the pure elements   -228 meV/atom
Crystal system   triclinic


Entry 5:
The following is a DFT calculation (GGA-PBE) of crystalline SrSeCl3 at its relaxed geometry.

Cell: 5.3159 5.3159 5.3159 Å, 90.00 90.00 90.00°
Positions (direct):
Sr1 0.0000 0.0000 0.0000
Se1 0.5000 0.5000 0.5000
Cl1 0.0000 0.5000 0.5000
Cl2 0.5000 0.0000 0.5000
Cl3 0.5000 0.5000 0.0000

Summary:
Raw formation energy   -0.81 eV per atom
Crystal system   cubic


Result set for D(E_F): 3.4 2.7 5.2 3.4 1.5 states/eV/f.u., one per record in the order listed.